## 1
{"formula": "CuNiBiW", "functional": "PBE", "state": "optimized geometry", "lattice": [[0.000, 3.201, 3.201], [3.201, 0.000, 3.201], [3.201, 3.201, 0.000]], "species": ["Cu", "Ni", "Bi", "W"], "frac_coords": [[0.000, 0.000, 0.000], [0.500, 0.500, 0.500], [0.750, 0.750, 0.750], [0.250, 0.250, 0.250]], "space_group": "F-43m", "crystal_system": "cubic", "magnetic_moment_mub_per_fu": 2.0, "volume_a3_per_atom": 16.40}

## 2
{"formula": "CuNiBiW", "functional": "PBE", "state": "optimized geometry", "lattice": [[0.000, 3.211, 3.211], [3.211, 0.000, 3.211], [3.211, 3.211, 0.000]], "species": ["Cu", "Ni", "Bi", "W"], "frac_coords": [[0.000, 0.000, 0.000], [0.250, 0.250, 0.250], [0.750, 0.750, 0.750], [0.500, 0.500, 0.500]], "space_group": "F-43m", "crystal_system": "cubic", "magnetic_moment_mub_per_fu": 1.2, "volume_a3_per_atom": 16.56}

If you had to bet on the most stable structure above, which would it be? Bet on 2.